[1]
Computed, not measured: crystalline Nd2TlP2N6 at its relaxed geometry at the GGA-PBE level of DFT.

Lattice parameters (Å, degrees): 6.6108 6.5167 6.6740 115.87 89.92 59.59
Last column: nearest neighbours and their distance in Å.
Fractional coordinates of all 11 atoms:
Nd: 0.8223 0.3555 0.8037  4 N 2.37-2.49
N: 0.9277 0.1434 0.3734  1 P 1.57
Nd: 0.1777 0.6445 0.1963  4 N 2.37-2.49
P: 0.8423 0.3141 0.2463  3 N 1.57-1.58
P: 0.1577 0.6859 0.7537  3 N 1.57-1.58
N: 0.0042 0.5961 0.8308  1 P 1.58
N: 0.6000 0.4024 0.1683  1 P 1.58
N: 0.4000 0.5976 0.8317  1 P 1.58
N: 0.0723 0.8566 0.6266  1 P 1.57
N: 0.9958 0.4039 0.1692  1 P 1.58
Tl: 0.5000 0.0000 0.5000  6 N 3.21-3.60, 2 P 3.33

The calculation puts the formation energy from raw total energies at -0.51 eV/atom.

[2]
Computed, not measured: crystalline Pr2ThBr at its relaxed geometry at the GGA-PBE level of DFT.

Lattice parameters (Å, degrees): 3.6735 3.6735 9.6262 90.00 90.00 90.00
Last column: nearest neighbours and their distance in Å.
Fractional coordinates of all 4 atoms:
Th: 0.5000 0.5000 0.5000  8 Pr 3.58, 4 Th 3.67
Pr: 0.0000 0.0000 0.2447  4 Br 3.51, 4 Th 3.58, 4 Pr 3.67
Pr: 0.0000 0.0000 0.7553  4 Br 3.51, 4 Th 3.58, 4 Pr 3.67
Br: 0.5000 0.5000 0.0000  8 Pr 3.51, 4 Br 3.67

The calculation puts the formation energy from raw total energies at -0.48 eV/atom. As for the energy above the most stable polymorph in this dataset: 8.99 kJ/mol of atoms.

[3]
Computed, not measured: crystalline Y4In3Ru at its relaxed geometry at the GGA-PBE level of DFT.

Lattice parameters (Å, degrees): 3.5527 3.5527 15.7919 90.00 90.00 90.00
Last column: nearest neighbours and their distance in Å.
Fractional coordinates of all 8 atoms:
Y: 0.0000 0.0000 0.8971  4 Ru 2.99, 1 Y 3.25, 4 In 3.29
Y: 0.0000 0.0000 0.6321  8 In 3.25-3.27, 4 Y 3.55
In: 0.5000 0.5000 0.2374  8 Y 3.25-3.29, 4 In 3.55
In: 0.5000 0.5000 0.7626  8 Y 3.25-3.29, 4 In 3.55
Ru: 0.5000 0.5000 0.0000  8 Y 2.99
In: 0.5000 0.5000 0.5000  8 Y 3.27, 4 In 3.55
Y: 0.0000 0.0000 0.1029  4 Ru 2.99, 1 Y 3.25, 4 In 3.29
Y: 0.0000 0.0000 0.3679  8 In 3.25-3.27, 4 Y 3.55

As for the energy of formation: -0.482 eV/atom.

[4]
Computed, not measured: crystalline Pm4Sn2Cl3 at its relaxed geometry at the GGA-PBE level of DFT.

Lattice parameters (Å, degrees): 4.3832 4.3827 16.9123 89.84 90.00 120.00
Last column: nearest neighbours and their distance in Å.
Fractional coordinates of all 9 atoms:
Pm: 0.6660 0.3319 0.0980  3 Cl 3.03, 3 Sn 3.07
Cl: 0.3361 0.6721 0.6040  3 Pm 2.94
Pm: 0.3340 0.6681 0.9020  3 Cl 3.03, 3 Sn 3.07
Cl: 0.0000 0.0000 0.0000  6 Pm 3.03
Pm: 0.0021 0.0043 0.6921  3 Cl 2.94, 3 Sn 3.11
Sn: 0.3319 0.6638 0.2012  6 Pm 3.07-3.11
Pm: 0.9979 0.9957 0.3079  3 Cl 2.94, 3 Sn 3.11
Cl: 0.6639 0.3279 0.3960  3 Pm 2.94
Sn: 0.6681 0.3362 0.7988  6 Pm 3.07-3.11

The calculation puts the formation energy from raw total energies at -1.32 eV/atom.

[5]
Computed, not measured: crystalline AgAuS2N at its relaxed geometry at the GGA-PBE level of DFT.

Lattice parameters (Å, degrees): 5.1200 5.1200 3.7534 90.00 90.00 90.00
Last column: nearest neighbours and their distance in Å.
Fractional coordinates of all 5 atoms:
S: 0.0000 0.5000 0.0000  2 Au 2.56
Ag: 0.5000 0.5000 0.5000  8 S 3.17
S: 0.5000 0.0000 0.0000  2 Au 2.56
Au: 0.0000 0.0000 0.0000  2 N 1.88
N: 0.0000 0.0000 0.5000  2 Au 1.88

The calculation puts the formation energy from raw total energies at 1.22 eV/atom. As for the energy above the most stable polymorph in this dataset: 0.00 kJ/mol of atoms.

[6]
Computed, not measured: crystalline Li2SmCd2In2 at its relaxed geometry at the GGA-PBE level of DFT.

Lattice parameters (Å, degrees): 4.8478 4.9771 7.7379 104.03 90.00 119.14
Last column: nearest neighbours and their distance in Å.
Fractional coordinates of all 7 atoms:
Cd: 0.7192 0.4385 0.1964  1 Li 2.80, 3 In 2.91-2.92
Sm: 0.0000 0.0000 0.0000  6 Cd 3.20-3.21, 2 Li 3.23, 4 In 3.47
In: 0.5890 0.1780 0.7208  3 Cd 2.91-2.92, 3 Li 2.99-3.12
Li: 0.1319 0.2638 0.4331  1 Li 2.77, 1 Cd 2.80, 1 In 2.99
Cd: 0.2808 0.5615 0.8036  1 Li 2.80, 3 In 2.91-2.92
In: 0.4110 0.8220 0.2792  3 Cd 2.91-2.92, 3 Li 2.99-3.12
Li: 0.8681 0.7362 0.5669  1 Li 2.77, 1 Cd 2.80, 1 In 2.99

As for the energy of formation: -0.309 eV/atom.

[7]
Computed, not measured: crystalline Nb2HgB at its relaxed geometry at the GGA-PBE level of DFT.

Lattice parameters (Å, degrees): 6.8843 6.8843 5.6292 52.30 52.30 90.00
Last column: nearest neighbours and their distance in Å.
Fractional coordinates of all 8 atoms:
B: 0.2500 0.7500 0.5000  4 Nb 2.29
Nb: 0.1812 0.6250 0.2500  2 B 2.29
Hg: 0.7500 0.2500 0.5000  8 Nb 2.81-3.04, 2 B 2.83
Nb: 0.3750 0.4312 0.7500  2 B 2.29
Nb: 0.5688 0.1250 0.2500  2 B 2.29
B: 0.5000 0.5000 0.0000  4 Nb 2.29
Nb: 0.8750 0.8188 0.7500  2 B 2.29
Hg: 0.0000 0.0000 0.0000  8 Nb 2.81-3.04, 2 B 2.83

As for the energy of formation: 0.376 eV/atom. As for the energy above the most stable polymorph in this dataset: 61.86 kJ/mol of atoms.

[8]
Computed, not measured: crystalline AsPtRh2S at its relaxed geometry at the GGA-PBE level of DFT.

Lattice parameters (Å, degrees): 4.9858 4.5102 4.9858 90.00 90.00 90.00
Last column: nearest neighbours and their distance in Å.
Fractional coordinates of all 5 atoms:
As: 0.0000 0.5000 0.0000  2 Pt 2.26
Pt: 0.0000 0.0000 0.0000  2 As 2.26, 4 Rh 2.49
Rh: 0.0000 0.0000 0.5000  2 Pt 2.49
S: 0.5000 0.5000 0.5000  8 Rh 3.36, 4 As 3.53
Rh: 0.5000 0.0000 0.0000  2 Pt 2.49

The calculation puts the formation energy from raw total energies at 1.26 eV/atom.

[9]
Computed, not measured: crystalline SrHf2HgO at its relaxed geometry at the GGA-PBE level of DFT.

Lattice parameters (Å, degrees): 5.1865 6.2079 5.1865 90.00 90.00 90.00
Last column: nearest neighbours and their distance in Å.
Fractional coordinates of all 5 atoms:
Hf: 0.0000 0.0000 0.5000  2 Hg 2.59
O: 0.5000 0.5000 0.5000  4 Sr 3.67, 8 Hf 4.04
Sr: 0.0000 0.5000 0.0000  2 Hg 3.10
Hf: 0.5000 0.0000 0.0000  2 Hg 2.59
Hg: 0.0000 0.0000 0.0000  4 Hf 2.59

The calculation puts the formation energy from raw total energies at 1.08 eV/atom.

[10]
Computed, not measured: crystalline VCdAg3 at its relaxed geometry at the GGA-PBE level of DFT.

Lattice parameters (Å, degrees): 5.0189 5.0189 5.0189 90.00 90.00 90.00
Last column: nearest neighbours and their distance in Å.
Fractional coordinates of all 5 atoms:
Ag: 0.5000 0.0000 0.0000  2 V 2.51
Ag: 0.0000 0.0000 0.5000  2 V 2.51
Ag: 0.0000 0.5000 0.0000  2 V 2.51
Cd: 0.5000 0.5000 0.5000  12 Ag 3.55
V: 0.0000 0.0000 0.0000  6 Ag 2.51

As for the energy of formation: 1.068 eV/atom. As for the energy above the most stable polymorph in this dataset: 0.00 kJ/mol of atoms.

[11]
Computed, not measured: crystalline Fe2MoH at its relaxed geometry at the GGA-PBE level of DFT.

Lattice parameters (Å, degrees): 3.8280 3.8280 5.2570 68.65 68.65 60.00
Last column: nearest neighbours and their distance in Å.
Fractional coordinates of all 4 atoms:
Mo: 0.5000 0.5000 0.5000  6 Fe 2.35
H: 0.0000 0.0000 0.0000  2 Fe 1.58
Fe: 0.1104 0.1104 0.6688  1 H 1.58
Fe: 0.8896 0.8896 0.3312  1 H 1.58

As for the energy above the most stable polymorph in this dataset: 74.57 kJ/mol of atoms.

[12]
Computed, not measured: crystalline CeSmCuAu at its relaxed geometry at the GGA-PBE level of DFT.

Lattice parameters (Å, degrees): 5.1305 5.1305 5.1305 60.00 60.00 60.00
Last column: nearest neighbours and their distance in Å.
Fractional coordinates of all 4 atoms:
Ce: 0.0000 0.0000 0.0000  4 Cu 3.14, 4 Au 3.14
Au: 0.2500 0.2500 0.2500  4 Ce 3.14, 4 Sm 3.14
Sm: 0.5000 0.5000 0.5000  4 Au 3.14, 4 Cu 3.14
Cu: 0.7500 0.7500 0.7500  4 Ce 3.14, 4 Sm 3.14

As for the energy of formation: -0.375 eV/atom.

[13]
Computed, not measured: crystalline TaAg2Se at its relaxed geometry at the GGA-PBE level of DFT.

Lattice parameters (Å, degrees): 3.1751 3.1751 7.3704 90.00 90.00 90.00
Last column: nearest neighbours and their distance in Å.
Fractional coordinates of all 4 atoms:
Ag: 0.5000 0.5000 0.2394  8 Ag 2.89-3.18, 4 Se 3.14
Se: 0.0000 0.0000 0.5375  4 Ta 2.66
Ta: 0.5000 0.5000 0.7310  4 Se 2.66, 4 Ag 2.96
Ag: 0.0000 0.0000 0.9921  8 Ag 2.89-3.18, 4 Ta 2.96

The calculation puts the formation energy from raw total energies at -0.01 eV/atom.

[14]
Computed, not measured: crystalline TcTe2HAu at its relaxed geometry at the GGA-PBE level of DFT.

Lattice parameters (Å, degrees): 5.0056 3.5140 5.0056 90.00 90.00 90.00
Last column: nearest neighbours and their distance in Å.
Fractional coordinates of all 5 atoms:
Au: 0.5000 0.5000 0.5000  8 Te 3.06
Tc: 0.0000 0.5000 0.0000  2 H 1.76
Te: 0.5000 0.0000 0.0000  2 H 2.50
Te: 0.0000 0.0000 0.5000  2 H 2.50
H: 0.0000 0.0000 0.0000  2 Tc 1.76

For the final energy, the calculation gives -20.69 eV per cell.

[15]
Computed, not measured: crystalline KCeInCl6 at its relaxed geometry at the GGA-PBE level of DFT.

Lattice parameters (Å, degrees): 6.9476 6.9476 13.5066 90.00 90.00 90.00
Last column: nearest neighbours and their distance in Å.
Fractional coordinates of all 18 atoms:
Ce: 0.0000 0.0000 0.3338  6 Cl 2.65-2.67
Cl: 0.8129 0.1871 0.4756  1 Ce 2.65
In: 0.0000 0.0000 0.0003  6 Cl 3.06-3.16
Ce: 0.5000 0.5000 0.8338  6 Cl 2.65-2.67
Cl: 0.6792 0.6792 0.6856  1 Ce 2.67
Cl: 0.2699 0.2699 0.3370  1 Ce 2.65
K: 0.0000 0.0000 0.6693  6 Cl 3.16-3.20
Cl: 0.8208 0.1792 0.1856  1 Ce 2.67
Cl: 0.7699 0.2301 0.8370  1 Ce 2.65
Cl: 0.3129 0.3129 0.9756  1 Ce 2.65
Cl: 0.2301 0.7699 0.8370  1 Ce 2.65
Cl: 0.1792 0.8208 0.1856  1 Ce 2.67
Cl: 0.6871 0.6871 0.9756  1 Ce 2.65
Cl: 0.7301 0.7301 0.3370  1 Ce 2.65
In: 0.5000 0.5000 0.5003  6 Cl 3.06-3.16
K: 0.5000 0.5000 0.1693  6 Cl 3.16-3.20
Cl: 0.1871 0.8129 0.4756  1 Ce 2.65
Cl: 0.3208 0.3208 0.6856  1 Ce 2.67

The calculation puts the formation energy from raw total energies at -1.75 eV/atom.

[16]
Computed, not measured: crystalline BePt2 at its relaxed geometry at the GGA-PBE level of DFT.

Lattice parameters (Å, degrees): 4.6560 4.6560 7.1764 66.05 66.05 34.44
Last column: nearest neighbours and their distance in Å.
Fractional coordinates of all 6 atoms:
Be: 0.3735 0.3735 0.7513  7 Pt 2.37-2.51
Be: 0.0153 0.0153 0.9709  7 Pt 2.37-2.51
Pt: 0.7220 0.7220 0.0391  5 Be 2.37-2.51
Pt: 0.0241 0.0241 0.4581  2 Be 2.39
Pt: 0.3647 0.3647 0.2641  2 Be 2.39
Pt: 0.6669 0.6669 0.6831  5 Be 2.37-2.51

As for the energy of formation: -0.501 eV/atom.

[17]
Computed, not measured: crystalline TaFe3 at its relaxed geometry at the GGA-PBE level of DFT.

Lattice parameters (Å, degrees): 5.0500 5.0500 3.9952 90.00 90.00 98.77
Last column: nearest neighbours and their distance in Å.
Fractional coordinates of all 8 atoms:
Ta: 0.6572 0.3428 0.2500  10 Fe 2.49-2.77
Fe: 0.0918 0.9082 0.2500  4 Fe 2.39-2.44
Fe: 0.3867 0.1560 0.7500  3 Fe 2.39-2.67, 4 Ta 2.49-2.57
Ta: 0.3428 0.6572 0.7500  10 Fe 2.49-2.77
Fe: 0.6133 0.8440 0.2500  3 Fe 2.39-2.67, 4 Ta 2.49-2.57
Fe: 0.1560 0.3867 0.2500  3 Fe 2.39-2.67, 4 Ta 2.49-2.57
Fe: 0.8440 0.6133 0.7500  3 Fe 2.39-2.67, 4 Ta 2.49-2.57
Fe: 0.9082 0.0918 0.7500  4 Fe 2.39-2.44

As for the energy of formation: 0.063 eV/atom.

[18]
Computed, not measured: crystalline Cu5SiPd4 at its relaxed geometry at the GGA-PBE level of DFT.

Lattice parameters (Å, degrees): 4.4503 5.3148 6.5357 96.59 115.91 99.63
Last column: nearest neighbours and their distance in Å.
Fractional coordinates of all 10 atoms:
Si: 0.5000 0.0000 0.0000  4 Pd 2.43-2.44, 2 Cu 2.66
Cu: 0.6706 0.7793 0.3953  3 Cu 2.55-2.78, 7 Pd 2.63-2.68, 1 Si 2.81
Cu: 0.8910 0.5826 0.7991  5 Cu 2.57-2.78, 6 Pd 2.60-2.72, 1 Si 2.86
Pd: 0.9390 0.0973 0.8038  1 Si 2.44, 7 Cu 2.63-2.70
Pd: 0.6991 0.2802 0.3774  1 Si 2.43, 8 Cu 2.60-2.72
Cu: 0.5000 0.5000 0.0000  6 Cu 2.55-2.61, 2 Si 2.66, 4 Pd 2.69-2.71
Pd: 0.0610 0.9027 0.1962  1 Si 2.44, 7 Cu 2.63-2.70
Cu: 0.3294 0.2207 0.6047  3 Cu 2.55-2.78, 7 Pd 2.63-2.68, 1 Si 2.81
Cu: 0.1090 0.4174 0.2009  5 Cu 2.57-2.78, 6 Pd 2.60-2.72, 1 Si 2.86
Pd: 0.3009 0.7198 0.6226  1 Si 2.43, 8 Cu 2.60-2.72

The calculation puts the formation energy from raw total energies at -0.25 eV/atom.

[19]
Computed, not measured: crystalline LaNi5Ge3 at its relaxed geometry at the GGA-PBE level of DFT.

Lattice parameters (Å, degrees): 3.7961 6.3598 11.9130 90.00 90.00 107.36
Last column: nearest neighbours and their distance in Å.
Fractional coordinates of all 18 atoms:
Ge: 0.3804 0.7608 0.9587  7 Ni 2.29-2.46
Ni: 0.5503 0.1006 0.8553  4 Ge 2.37-2.40, 3 Ni 2.51-2.64
Ge: 0.6196 0.2392 0.4587  7 Ni 2.29-2.46
Ni: 0.0000 0.0000 0.5000  4 Ge 2.44, 6 Ni 2.47-2.64
Ge: 0.1112 0.2225 0.7500  6 Ni 2.39-2.41
Ni: 0.4497 0.8994 0.1447  4 Ge 2.37-2.40, 3 Ni 2.51-2.64
Ge: 0.6196 0.2392 0.0413  7 Ni 2.29-2.46
Ni: 0.1932 0.3863 0.9340  4 Ge 2.29-2.46, 1 Ni 2.47
Ni: 0.0000 0.0000 0.0000  4 Ge 2.44, 6 Ni 2.47-2.64
La: 0.1635 0.3270 0.2500  7 Ge 3.17-3.34, 8 Ni 3.38-3.45
Ge: 0.8888 0.7775 0.2500  6 Ni 2.39-2.41
Ni: 0.5503 0.1006 0.6447  4 Ge 2.37-2.40, 3 Ni 2.51-2.64
Ni: 0.8068 0.6137 0.4340  4 Ge 2.29-2.46, 1 Ni 2.47
Ge: 0.3804 0.7608 0.5413  7 Ni 2.29-2.46
La: 0.8365 0.6730 0.7500  7 Ge 3.17-3.34, 8 Ni 3.38-3.45
Ni: 0.4497 0.8994 0.3553  4 Ge 2.37-2.40, 3 Ni 2.51-2.64
Ni: 0.1932 0.3863 0.5660  4 Ge 2.29-2.46, 1 Ni 2.47
Ni: 0.8068 0.6137 0.0660  4 Ge 2.29-2.46, 1 Ni 2.47

As for the energy of formation: -0.522 eV/atom.

[20]
Computed, not measured: crystalline Dy3AsPbO at its relaxed geometry at the GGA-PBE level of DFT.

Lattice parameters (Å, degrees): 4.0426 8.9311 8.9567 102.30 90.00 90.00
Last column: nearest neighbours and their distance in Å.
Fractional coordinates of all 12 atoms:
Dy: 0.2500 0.8410 0.4845  3 O 2.21-2.27
As: 0.2500 0.6521 0.1675  6 Dy 2.86-2.98
O: 0.2500 0.0881 0.5924  4 Dy 2.21-2.27
Dy: 0.7500 0.1590 0.5155  3 O 2.21-2.27
Dy: 0.7500 0.4234 0.1593  3 As 2.86, 2 Pb 3.13
Dy: 0.2500 0.1171 0.8474  1 O 2.24
Pb: 0.7500 0.8242 0.7780  7 Dy 3.13-3.34
Pb: 0.2500 0.1758 0.2220  7 Dy 3.13-3.34
As: 0.7500 0.3479 0.8325  6 Dy 2.86-2.98
Dy: 0.7500 0.8829 0.1526  1 O 2.24
Dy: 0.2500 0.5766 0.8407  3 As 2.86, 2 Pb 3.13
O: 0.7500 0.9119 0.4076  4 Dy 2.21-2.27

The calculation puts the formation energy from raw total energies at -1.65 eV/atom.